A relaxed Na2CoNiF8 crystal, computed with PBE with a Hubbard U.

Cell and atoms, written as extended XYZ:
```
12
Lattice="4.9560 0.0000 0.0000 0.2280 4.9943 0.0000 0.0254 0.0239 6.2215" Properties=species:S:1:pos:R:3 pbc="T T T"
Na 0.0070 0.0067 1.5391
Na 5.2024 5.0115 4.6824
Co 2.6047 2.5091 3.1107
Ni 2.5920 2.4971 0.0000
F 1.3775 3.8584 3.1104
F 1.4147 3.8473 6.2212
F 1.6773 1.6661 4.6863
F 1.6694 1.6585 1.5299
F 3.5400 3.3597 4.6916
F 3.5320 3.3520 1.5352
F 3.7947 1.1709 0.0003
F 3.8319 1.1598 3.1110
```

## Properties
Its total energy is -51.3 eV/cell. As for the crystal system: triclinic.